(i)
Entry from Alexandria: a relaxed structure of In2PtW (PBE).

Unit cell a=5.5591 b=5.5591 c=5.1045 alpha=111.21 beta=111.21 gamma=30.69
With the nearest neighbours (Å) after each atom.
Positions (direct):
In 0.0000 0.0000 0.0000  4 W 2.88-3.06, 3 Pt 2.88-2.97, 3 In 2.94-3.07
In 0.2145 0.2145 0.6019  4 Pt 2.88-3.07, 3 W 2.91-2.95, 3 In 2.94-3.07
Pt 0.7559 0.7559 0.1129  2 W 2.75, 7 In 2.88-3.07, 2 Pt 2.94
W 0.4615 0.4615 0.4906  2 Pt 2.75, 7 In 2.88-3.06, 2 W 2.94

Results
Density of states at the Fermi level (states/eV/atom): 0.30
Space-group type: Cm (8)
Total moment (μB/atom): 0.00
Volume (Å³ per atom): 18.66

(ii)
Entry from Alexandria: a relaxed structure of In2PtW (PBE).

Unit cell a=2.9893 b=4.0813 c=6.0840 alpha=90.00 beta=90.00 gamma=90.00
With the nearest neighbours (Å) after each atom.
Positions (direct):
In 0.0000 0.0000 0.0000  1 Pt 2.86, 4 W 2.88, 6 In 2.99-3.11
In 0.5000 0.5000 0.2966  2 W 2.89-3.19, 4 Pt 2.90, 6 In 2.99-3.11
Pt 0.0000 0.0000 0.5291  5 In 2.86-2.90, 4 W 2.93, 2 Pt 2.99
W 0.5000 0.5000 0.7722  6 In 2.88-3.19, 4 Pt 2.93, 2 W 2.99

Results
Density of states at the Fermi level (states/eV/atom): 0.64
Space-group type: Pmm2 (25)
Total moment (μB/atom): 0.00
Volume (Å³ per atom): 18.56

(iii)
Entry from Alexandria: a relaxed structure of In2PtW (PBE).

Unit cell a=5.3789 b=5.3789 c=5.3789 alpha=136.09 beta=136.09 gamma=63.84
With the nearest neighbours (Å) after each atom.
Positions (direct):
In 0.0000 0.0000 0.0000  4 W 2.84, 4 In 3.04, 4 Pt 3.04
In 0.7500 0.2500 0.5000  4 Pt 2.84, 4 W 3.04, 4 In 3.04
Pt 0.2500 0.7500 0.5000  8 In 2.84-3.04, 4 W 3.04
W 0.5000 0.5000 0.0000  8 In 2.84-3.04, 4 Pt 3.04

Results
Density of states at the Fermi level (states/eV/atom): 1.10
Space-group type: I-4m2 (119)
Total moment (μB/atom): 0.00
Volume (Å³ per atom): 18.46

What should be chosen as the least stable of them? Choose (iii).

(i)
Entry from Alexandria: a relaxed structure of In2PtW (PBE).

Unit cell a=5.0888 b=5.0888 c=5.0888 alpha=130.84 beta=130.84 gamma=72.06
With the nearest neighbours (Å) after each atom.
Positions (direct):
In 0.2500 0.7500 0.5000  4 W 2.95, 4 Pt 2.95, 4 In 2.99
In 0.7500 0.2500 0.5000  4 W 2.95, 4 Pt 2.95, 4 In 2.99
Pt 0.0000 0.0000 0.0000  8 In 2.95, 4 W 2.99
W 0.5000 0.5000 0.0000  8 In 2.95, 4 Pt 2.99

Results
Density of states at the Fermi level (states/eV/atom): 0.84
Space-group type: I4/mmm (139)
Total moment (μB/atom): 0.00
Volume (Å³ per atom): 18.44

(ii)
Entry from Alexandria: a relaxed structure of In2PtW (PBE).

Unit cell a=4.4807 b=4.4807 c=3.6169 alpha=90.00 beta=90.00 gamma=90.00
With the nearest neighbours (Å) after each atom.
Positions (direct):
In 0.0000 0.5000 0.0000  4 W 2.88, 4 Pt 2.88, 4 In 3.17
In 0.5000 0.0000 0.0000  4 W 2.88, 4 Pt 2.88, 4 In 3.17
Pt 0.0000 0.0000 0.5000  8 In 2.88, 4 W 3.17
W 0.5000 0.5000 0.5000  8 In 2.88, 4 Pt 3.17

Results
Density of states at the Fermi level (states/eV/atom): 0.48
Space-group type: P4/mmm (123)
Total moment (μB/atom): 0.00
Volume (Å³ per atom): 18.15

What should be chosen as the least stable of them? Choose (i).

(i)
Entry from Alexandria: a relaxed structure of InPtW (PBE).

Unit cell a=4.3950 b=4.3950 c=4.3950 alpha=60.00 beta=60.00 gamma=60.00
With the nearest neighbours (Å) after each atom.
Positions (direct):
In 0.0000 0.0000 0.0000  4 Pt 2.69
Pt 0.2500 0.2500 0.2500  4 In 2.69, 4 W 2.69
W 0.5000 0.5000 0.5000  4 Pt 2.69

Results
Density of states at the Fermi level (states/eV/atom): 1.02
Space-group type: F-43m (216)
Total moment (μB/atom): 0.33
Volume (Å³ per atom): 20.01

(ii)
Entry from Alexandria: a relaxed structure of InPtW (PBE).

Unit cell a=6.5049 b=6.5049 c=6.5049 alpha=154.09 beta=154.09 gamma=36.97
With the nearest neighbours (Å) after each atom.
Positions (direct):
In 0.0000 0.0000 0.0000  4 In 2.92, 4 W 3.01, 4 Pt 3.02
Pt 0.3211 0.3211 0.0000  4 W 2.72, 4 Pt 2.92, 4 In 3.02
W 0.6772 0.6772 0.0000  4 Pt 2.72, 4 W 2.92, 4 In 3.01

Results
Density of states at the Fermi level (states/eV/atom): 0.91
Space-group type: I4mm (107)
Total moment (μB/atom): 0.00
Volume (Å³ per atom): 17.50

What should be chosen as the least stable of them? Choose (i).

(i)
Entry from Alexandria: a relaxed structure of InPtW (PBE).

Unit cell a=2.9474 b=2.9474 c=6.9784 alpha=90.00 beta=90.00 gamma=120.00
With the nearest neighbours (Å) after each atom.
Positions (direct):
In 0.0000 0.0000 0.0000  3 Pt 2.93, 6 In 2.95, 3 W 3.00
Pt 0.6667 0.3333 0.3421  3 W 2.72, 3 In 2.93, 6 Pt 2.95
W 0.3333 0.6667 0.6466  3 Pt 2.72, 6 W 2.95, 3 In 3.00

Results
Density of states at the Fermi level (states/eV/atom): 1.03
Space-group type: P3m1 (156)
Total moment (μB/atom): 0.00
Volume (Å³ per atom): 17.50

(ii)
Entry from Alexandria: a relaxed structure of InPtW (PBE).

Unit cell a=4.4354 b=4.4354 c=4.4354 alpha=60.00 beta=60.00 gamma=60.00
With the nearest neighbours (Å) after each atom.
Positions (direct):
In 0.0000 0.0000 0.0000  4 W 2.72
Pt 0.5000 0.5000 0.5000  4 W 2.72
W 0.2500 0.2500 0.2500  4 Pt 2.72, 4 In 2.72

Results
Density of states at the Fermi level (states/eV/atom): 1.17
Space-group type: F-43m (216)
Total moment (μB/atom): 0.00
Volume (Å³ per atom): 20.57

What should be chosen as the least stable of them? Choose (ii).

(i)
Entry from Alexandria: a relaxed structure of In3PtW (PBE).

Unit cell a=5.1290 b=5.1290 c=5.1290 alpha=90.00 beta=90.00 gamma=90.00
With the nearest neighbours (Å) after each atom.
Positions (direct):
In 0.0000 0.0000 0.5000  2 Pt 2.56
In 0.0000 0.5000 0.0000  2 Pt 2.56
In 0.5000 0.0000 0.0000  2 Pt 2.56
Pt 0.0000 0.0000 0.0000  6 In 2.56
W 0.5000 0.5000 0.5000  12 In 3.63

Results
Density of states at the Fermi level (states/eV/atom): 0.89
Space-group type: Pm-3m (221)
Total moment (μB/atom): 0.79
Volume (Å³ per atom): 26.99

(ii)
Entry from Alexandria: a relaxed structure of In3PtW (PBE).

Unit cell a=5.2260 b=5.2260 c=5.2260 alpha=90.00 beta=90.00 gamma=90.00
With the nearest neighbours (Å) after each atom.
Positions (direct):
In 0.0000 0.0000 0.5000  2 W 2.61
In 0.0000 0.5000 0.0000  2 W 2.61
In 0.5000 0.0000 0.0000  2 W 2.61
Pt 0.5000 0.5000 0.5000  12 In 3.70
W 0.0000 0.0000 0.0000  6 In 2.61

Results
Density of states at the Fermi level (states/eV/atom): 1.07
Space-group type: Pm-3m (221)
Total moment (μB/atom): 0.22
Volume (Å³ per atom): 28.54

What should be chosen as the least stable of them? Choose (ii).

(i)
Entry from Alexandria: a relaxed structure of InPtW3 (PBE).

Unit cell a=4.7895 b=4.7895 c=4.7895 alpha=90.00 beta=90.00 gamma=90.00
With the nearest neighbours (Å) after each atom.
Positions (direct):
In 0.0000 0.0000 0.0000  6 W 2.39
Pt 0.5000 0.5000 0.5000  12 W 3.39
W 0.0000 0.0000 0.5000  2 In 2.39
W 0.0000 0.5000 0.0000  2 In 2.39
W 0.5000 0.0000 0.0000  2 In 2.39

Results
Density of states at the Fermi level (states/eV/atom): 0.64
Space-group type: Pm-3m (221)
Total moment (μB/atom): 0.00
Volume (Å³ per atom): 21.97

(ii)
Entry from Alexandria: a relaxed structure of InPtW3 (PBE).

Unit cell a=4.8119 b=4.8119 c=4.8119 alpha=90.00 beta=90.00 gamma=90.00
With the nearest neighbours (Å) after each atom.
Positions (direct):
In 0.0000 0.0000 0.0000  12 W 3.40
Pt 0.5000 0.5000 0.5000  6 W 2.41
W 0.0000 0.5000 0.5000  2 Pt 2.41
W 0.5000 0.0000 0.5000  2 Pt 2.41
W 0.5000 0.5000 0.0000  2 Pt 2.41

Results
Density of states at the Fermi level (states/eV/atom): 1.04
Space-group type: Pm-3m (221)
Total moment (μB/atom): 0.00
Volume (Å³ per atom): 22.28

What should be chosen as the least stable of them? Choose (i).